[1]
{
  "formula": "Sc3Cl",
  "functional": "PBE-GGA",
  "state": "optimized geometry",
  "lattice": [[3.2054, 0.0000, 0.0000], [0.0000, 3.2054, 0.0000], [0.0000, 0.0000, 8.7101]],
  "species": ["Sc", "Sc", "Sc", "Cl"],
  "frac_coords": [[0.0000, 0.0000, 0.0000], [0.5000, 0.5000, 0.2638], [0.5000, 0.5000, 0.7362], [0.0000, 0.0000, 0.5000]],
  "e_form_raw_mev_per_atom": -453,
  "m_tot_mub_per_cell": 0.002
}



[2]
{
  "formula": "Sc3Cl",
  "functional": "PBE-GGA",
  "state": "optimized geometry",
  "lattice": [[3.3468, 0.0000, 0.0000], [-1.6734, 2.8984, 0.0000], [0.0000, 0.0000, 9.0555]],
  "species": ["Sc", "Sc", "Sc", "Cl"],
  "frac_coords": [[0.0000, 0.0000, 0.0000], [0.6667, 0.3333, 0.2763], [0.6667, 0.3333, 0.7237], [0.0000, 0.0000, 0.5000]],
  "e_form_raw_mev_per_atom": -633,
  "m_tot_mub_per_cell": 0.000
}



[3]
{
  "formula": "Sc2Cl",
  "functional": "PBE-GGA",
  "state": "optimized geometry",
  "lattice": [[12.3995, 0.0000, 0.0000], [0.0000, 3.3305, 0.0000], [-3.3650, 0.0000, 6.5343]],
  "species": ["Sc", "Sc", "Sc", "Sc", "Sc", "Sc", "Sc", "Sc", "Cl", "Cl", "Cl", "Cl"],
  "frac_coords": [[0.0147, 0.0000, 0.3163], [0.2165, 0.5000, 0.6688], [0.2835, 0.0000, 0.3312], [0.4853, 0.5000, 0.6837], [0.5147, 0.5000, 0.3163], [0.7165, 0.0000, 0.6688], [0.7835, 0.5000, 0.3312], [0.9853, 0.0000, 0.6837], [0.1305, 0.5000, 0.9763], [0.3695, 0.0000, 0.0237], [0.6305, 0.0000, 0.9763], [0.8695, 0.5000, 0.0237]],
  "e_form_raw_mev_per_atom": -782,
  "m_tot_mub_per_cell": 0.000
}



[4]
{
  "formula": "ScCl5",
  "functional": "PBE-GGA",
  "state": "optimized geometry",
  "lattice": [[3.7100, 0.0000, 0.0000], [0.0000, 4.9993, 0.0000], [-1.3744, 0.0000, 11.3429]],
  "species": ["Sc", "Cl", "Cl", "Cl", "Cl", "Cl"],
  "frac_coords": [[0.0000, 0.0000, 0.0000], [0.0007, 0.5000, 0.9996], [0.4372, 0.5000, 0.5844], [0.4444, 0.0000, 0.8504], [0.5107, 0.5000, 0.4145], [0.5556, 0.0000, 0.1496]],
  "e_form_raw_mev_per_atom": -1360,
  "polymorph_energy_mev_per_atom": 0,
  "m_tot_mub_per_cell": 0.000
}



[5]
{
  "formula": "Sc5Cl",
  "functional": "PBE-GGA",
  "state": "optimized geometry",
  "lattice": [[10.5862, 0.0000, 0.0000], [0.0000, 3.2978, 0.0000], [-2.2328, 0.0000, 7.8941]],
  "species": ["Sc", "Sc", "Sc", "Sc", "Sc", "Sc", "Sc", "Sc", "Sc", "Sc", "Cl", "Cl"],
  "frac_coords": [[0.0000, 0.0000, 0.0000], [0.0676, 0.0000, 0.4198], [0.1670, 0.5000, 0.7565], [0.2597, 0.5000, 0.2522], [0.3752, 0.0000, 0.6155], [0.5000, 0.5000, 0.0000], [0.5676, 0.5000, 0.4198], [0.6670, 0.0000, 0.7565], [0.7597, 0.0000, 0.2522], [0.8752, 0.5000, 0.6155], [0.2700, 0.0000, 0.0060], [0.7700, 0.5000, 0.0060]],
  "e_form_raw_mev_per_atom": -293,
  "polymorph_energy_mev_per_atom": 0,
  "m_tot_mub_per_cell": 0.001
}



[6]
{
  "formula": "Sc3Cl",
  "functional": "PBE-GGA",
  "state": "optimized geometry",
  "lattice": [[3.5232, 0.0000, 0.0000], [0.0000, 4.6100, 0.0000], [-1.6479, 0.0000, 5.5496]],
  "species": ["Sc", "Sc", "Sc", "Cl"],
  "frac_coords": [[0.0000, 0.0000, 0.0000], [0.3431, 0.5000, 0.7370], [0.6569, 0.5000, 0.2630], [0.0000, 0.0000, 0.5000]],
  "e_form_raw_mev_per_atom": -283,
  "m_tot_mub_per_cell": 0.000
}